10
Lattice="-4.210 4.210 5.948 4.210 -4.210 5.948 4.210 4.210 -5.948" Properties=species:S:1:pos:R:3 comment="PBE Rb2SrBI6, relaxed" e_form_raw_ev_per_atom=-0.7191 sg="No. 139" density_g_cm3=4.06 pbc="T T T"
Rb 4.210 0.000 2.974
Rb 0.000 4.210 2.974
Sr 0.000 0.000 0.000
B 0.000 0.000 5.948
I 0.000 0.000 3.236
I 2.287 2.287 0.000
I 1.922 -1.922 5.948
I -1.922 1.922 5.948
I 0.000 0.000 8.659
I 1.922 1.922 5.948